No. 1
{"formula": "KNbO3", "functional": "PBE", "state": "optimized geometry", "lattice_angstrom": [[4.1999, 0.0000, -0.0977], [0.0000, 6.0293, 0.0000], [-2.4573, 0.0000, 6.3544]], "species": ["Nb", "Nb", "K", "K", "O", "O", "O", "O", "O", "O"], "fractional_positions": [[0.9074, 0.2500, 0.4689], [0.0926, 0.7500, 0.5311], [0.7224, 0.2500, 0.9094], [0.2776, 0.7500, 0.0906], [0.8718, 0.9888, 0.2869], [0.1282, 0.0112, 0.7131], [0.8718, 0.5112, 0.2869], [0.1282, 0.4888, 0.7131], [0.4786, 0.2500, 0.4743], [0.5214, 0.7500, 0.5257]], "formation_energy_uncorrected_ev_per_atom": -2.3803, "space_group": "P2_1/m, No. 11"}

=====

No. 2
{"formula": "Ta2CrOs", "functional": "PBE", "state": "optimized geometry", "lattice_angstrom": [[-2.2662, 1.5293, -0.8973], [-1.7598, -2.1177, 0.8354], [-0.5784, 3.2249, 6.9569]], "species": ["Cr", "Os", "Ta", "Ta"], "fractional_positions": [[0.0000, 0.0000, 0.5289], [0.5000, 0.5000, 0.7128], [0.0000, 0.0000, 0.9812], [0.5000, 0.5000, 0.2771]], "space_group": "P4mm, No. 99", "formation_energy_ev_per_fu": 0.07, "polymorph_energy_mev_per_atom": 328}

=====

No. 3
{"formula": "LaPaAsN2", "functional": "PBE", "state": "optimized geometry", "lattice_angstrom": [[-1.9104, 2.4716, -2.3847], [-3.0990, -2.4167, -0.0222], [0.0295, 3.0987, 6.4265]], "species": ["La", "Pa", "As", "N", "N"], "fractional_positions": [[0.8464, 0.8464, 0.6928], [0.1653, 0.1653, 0.3306], [0.5095, 0.5095, 0.0190], [0.7394, 0.2394, 0.4788], [0.2394, 0.7394, 0.4788]], "formation_energy_uncorrected_ev_per_atom": -1.3995, "space_group": "I4mm, No. 107"}

=====

No. 4
{"formula": "BaZn2FeRh", "functional": "PBE", "state": "optimized geometry", "lattice_angstrom": [[4.8050, 0.0000, 0.0000], [0.0000, 4.6122, 0.0000], [0.0000, 0.0000, 4.8050]], "species": ["Zn", "Zn", "Rh", "Ba", "Fe"], "fractional_positions": [[0.0000, 0.0000, 0.5000], [0.5000, 0.0000, 0.0000], [0.0000, 0.5000, 0.0000], [0.5000, 0.5000, 0.5000], [0.0000, 0.0000, 0.0000]], "space_group": "P4/mmm, No. 123", "formation_energy_ev_per_fu": 0.93}

=====

No. 5
{"formula": "TlTe3AsAu", "functional": "PBE", "state": "optimized geometry", "lattice_angstrom": [[4.1810, 0.0000, 0.0000], [0.0000, 9.4627, -0.1291], [0.0000, -2.6308, 9.5192]], "species": ["Tl", "Tl", "Te", "Te", "Te", "Te", "Te", "Te", "As", "As", "Au", "Au"], "fractional_positions": [[0.2500, 0.1685, 0.2334], [0.7500, 0.8315, 0.7666], [0.7500, 0.8704, 0.1297], [0.2500, 0.1296, 0.8703], [0.2500, 0.7456, 0.4655], [0.7500, 0.2544, 0.5345], [0.7500, 0.4481, 0.1547], [0.2500, 0.5519, 0.8453], [0.2500, 0.6522, 0.1329], [0.7500, 0.3478, 0.8671], [0.2500, 0.0861, 0.5769], [0.7500, 0.9139, 0.4231]], "formation_energy_uncorrected_ev_per_atom": -0.0597, "space_group": "P2_1/m, No. 11"}

=====

No. 6
{"formula": "Ca2HoSb3Rh4", "functional": "PBE", "state": "optimized geometry", "lattice_angstrom": [[4.3698, 0.0000, 0.0000], [0.0000, 4.3698, 0.0000], [0.0000, 0.0000, 11.4969]], "species": ["Ca", "Ca", "Ho", "Sb", "Sb", "Sb", "Rh", "Rh", "Rh", "Rh"], "fractional_positions": [[0.5000, 0.0000, 0.2337], [0.0000, 0.5000, 0.7663], [0.5000, 0.5000, 0.5000], [0.0000, 0.0000, 0.5000], [0.5000, 0.0000, 0.8696], [0.0000, 0.5000, 0.1304], [0.5000, 0.5000, 0.0000], [0.0000, 0.0000, 0.0000], [0.5000, 0.0000, 0.6462], [0.0000, 0.5000, 0.3538]], "formation_energy_uncorrected_ev_per_atom": -0.7801, "space_group": "P-4m2, No. 115"}

=====

No. 7
{"formula": "Ac14CeDy", "functional": "PBE", "state": "optimized geometry", "lattice_angstrom": [[7.8031, 1.0474, 0.0000], [-1.0464, 7.8032, 0.0000], [0.0000, 0.0000, 11.2064]], "species": ["Ac", "Ac", "Ac", "Ac", "Ac", "Ac", "Ac", "Ac", "Ac", "Ac", "Ac", "Ac", "Ac", "Ac", "Ce", "Dy"], "fractional_positions": [[0.3751, 0.6249, 0.5000], [0.8750, 0.1250, 0.5000], [0.8733, 0.6230, 0.0000], [0.8764, 0.6263, 0.5000], [0.3770, 0.1267, 0.0000], [0.3737, 0.1236, 0.5000], [0.6253, 0.8753, 0.7573], [0.6253, 0.8753, 0.2427], [0.1247, 0.3747, 0.7573], [0.1247, 0.3747, 0.2427], [0.1242, 0.8758, 0.7590], [0.1242, 0.8758, 0.2410], [0.6256, 0.3744, 0.7558], [0.6256, 0.3744, 0.2442], [0.8748, 0.1252, 0.0000], [0.3752, 0.6248, 0.0000]], "space_group": "Amm2, No. 38", "formation_energy_ev_per_fu": 0.81}

=====

No. 8
{"formula": "CdCoHW2", "functional": "PBE", "state": "optimized geometry", "lattice_angstrom": [[-3.1042, -0.2647, 3.7906], [2.2681, -0.1896, 1.8442], [0.0788, 4.8892, 0.4059]], "species": ["H", "Co", "W", "W", "Cd"], "fractional_positions": [[0.0000, 0.5000, 0.0000], [0.0000, 0.0000, 0.0000], [0.0000, 0.0000, 0.5000], [0.5000, 0.0000, 0.0000], [0.5000, 0.5000, 0.5000]], "dft_energy_ha_per_atom": -0.2333, "space_group": "P4/mmm, No. 123"}

=====

No. 9
{"formula": "Sr2LiI", "functional": "PBE", "state": "optimized geometry", "lattice_angstrom": [[4.3800, 0.0000, 0.0000], [2.1900, 3.7932, 0.0000], [2.1900, 1.2644, 9.8600]], "species": ["Sr", "Sr", "Li", "I"], "fractional_positions": [[0.0803, 0.0803, 0.7591], [0.2533, 0.2533, 0.2401], [0.6671, 0.6671, 0.9987], [0.4993, 0.4993, 0.5021]], "formation_energy_uncorrected_ev_per_atom": -0.5213, "space_group": "R3m, No. 160", "polymorph_energy_mev_per_atom": 0}

=====

No. 10
{"formula": "CdCoOs2", "functional": "PBE", "state": "optimized geometry", "lattice_angstrom": [[4.9074, -0.0001, 0.0000], [2.0146, 4.4748, 0.0000], [-3.4610, -2.2374, 2.6642]], "species": ["Cd", "Co", "Os", "Os"], "fractional_positions": [[0.2500, 0.7500, 0.5000], [0.7500, 0.2500, 0.5000], [0.0000, 0.0000, 0.0000], [0.5000, 0.5000, 0.0000]], "space_group": "I4/mmm, No. 139", "formation_energy_ev_per_fu": 2.72}

=====

No. 11
{"formula": "MnNi4Pt", "functional": "PBE", "state": "optimized geometry", "lattice_angstrom": [[2.6877, -0.8862, 3.7562], [-1.4979, -2.9842, 3.3120], [2.0553, -4.2026, 0.4821]], "species": ["Mn", "Ni", "Ni", "Ni", "Ni", "Pt"], "fractional_positions": [[0.0000, 0.0000, 0.0000], [0.3752, 0.8742, 0.3752], [0.8742, 0.3752, 0.3752], [0.3752, 0.3752, 0.8742], [0.3752, 0.3752, 0.3752], [0.7500, 0.7500, 0.7500]], "space_group": "F-43m, No. 216", "formation_energy_ev_per_fu": -0.40, "polymorph_energy_mev_per_atom": 67}

=====

No. 12
{"formula": "DyZn2BRu2", "functional": "PBE", "state": "optimized geometry", "lattice_angstrom": [[-0.2203, -2.6758, 3.2263], [3.2412, 1.9398, 1.8302], [-3.3892, 3.2994, 2.5050]], "species": ["Dy", "Zn", "Zn", "B", "Ru", "Ru"], "fractional_positions": [[0.0000, 0.0000, 0.5000], [0.5000, 0.5000, 0.7263], [0.5000, 0.5000, 0.2737], [0.0000, 0.0000, 0.0000], [0.5000, 0.0000, 0.0000], [0.0000, 0.5000, 0.0000]], "space_group": "P4/mmm, No. 123", "formation_energy_ev_per_fu": -2.23}

=====

Copy entry 9 word for word.
{"formula": "Sr2LiI", "functional": "PBE", "state": "optimized geometry", "lattice_angstrom": [[4.3800, 0.0000, 0.0000], [2.1900, 3.7932, 0.0000], [2.1900, 1.2644, 9.8600]], "species": ["Sr", "Sr", "Li", "I"], "fractional_positions": [[0.0803, 0.0803, 0.7591], [0.2533, 0.2533, 0.2401], [0.6671, 0.6671, 0.9987], [0.4993, 0.4993, 0.5021]], "formation_energy_uncorrected_ev_per_atom": -0.5213, "space_group": "R3m, No. 160", "polymorph_energy_mev_per_atom": 0}